The following is a PBE calculation of a relaxed structure of K3BaPt, from Alexandria via LeMat-Bulk.

Results
energy relative to the lowest polymorph listed for this composition = 0 kJ/mol of formula units
spin magnetization = 0.98 Bohr magnetons per cell
formation energy = 0.201 eV per atom
space-group type = Pm-3m (221)
volume = 257.7 Å³/cell

The structure in POSCAR format:
```
K3BaPt
1.0
6.3639 0.0000 0.0000
0.0000 6.3639 0.0000
0.0000 0.0000 6.3639
K Ba Pt
3 1 1
direct
0.0000 0.0000 0.5000
0.0000 0.5000 0.0000
0.5000 0.0000 0.0000
0.5000 0.5000 0.5000
0.0000 0.0000 0.0000
```